Version i
Compound: LiCoRu2
Source: Alexandria
Functional: SCAN
Structure: single point on PBEsol structure

abc: 2.5755 2.5755 8.7753
angles: 90.00 90.00 116.97
With the nearest neighbours (Å) after each atom.
Atoms (fractional coordinates):
Li 0.0000 0.0000 0.0000  2 Co 2.56, 6 Li 2.58-2.69, 2 Ru 2.65
Co 0.5000 0.5000 0.7524  2 Ru 2.48, 2 Li 2.56, 6 Co 2.58-2.69
Ru 0.0000 0.0000 0.5146  2 Co 2.48, 8 Ru 2.58-2.69
Ru 0.5000 0.5000 0.2607  8 Ru 2.58-2.69, 2 Li 2.65

Space-group type: Cmm2 (35)
Total magnetic moment, μB/cell: 1.91



Version ii
Compound: LiCoRu2
Source: Alexandria
Functional: SCAN
Structure: single point on PBEsol structure

abc: 4.7253 4.7253 4.7253
angles: 144.93 129.04 63.36
With the nearest neighbours (Å) after each atom.
Atoms (fractional coordinates):
Li 0.0000 0.0000 0.0000  2 Co 2.33, 6 Ru 2.48
Co 0.7705 0.2705 0.5000  2 Li 2.33, 6 Ru 2.49-2.50
Ru 0.2520 0.7520 0.5000  2 Li 2.48, 4 Co 2.49, 2 Ru 2.55
Ru 0.5147 0.5147 0.0000  4 Li 2.48, 2 Co 2.50, 2 Ru 2.55

Space-group type: Imm2 (44)
Total magnetic moment, μB/cell: 1.82



Among the structures above, stability is greatest for version ii.